First-principles (PBE-GGA) data for an optimized crystal structure of BaY3Pd, as listed in the Alexandria database.

Lattice parameters (Å, degrees): 5.5628 5.5628 5.5628 90.00 90.00 90.00
Space group Pm-3m (No. 221)
Inequivalent atoms, fractional coordinates:
Ba 0.0000 0.0000 0.0000 x1
Y 0.0000 0.0000 0.5000 x3
Pd 0.5000 0.5000 0.5000 x1

N(E_F): 3.1 states/eV/cell
Energy relative to the lowest polymorph listed for this composition: 1.418 eV per atom
Raw total energy: -4.0805 eV per atom
ΔH_f (0 K): 1.221 eV/atom

First-principles (PBE-GGA) data for an optimized crystal structure of ScPdPt4, as listed in the Alexandria database.

Lattice parameters (Å, degrees): 7.4400 7.4400 7.4400 90.00 90.00 90.00
Space group F-43m (No. 216)
Inequivalent atoms, fractional coordinates:
Sc 0.0000 0.0000 0.0000 x4
Pd 0.2500 0.2500 0.2500 x4
Pt 0.1248 0.1248 0.6248 x16

N(E_F): 18.9 states/eV/cell
Raw total energy: -6.5111 eV per atom
ΔH_f (0 K): -0.563 eV/atom

First-principles (PBE-GGA) data for an optimized crystal structure of CoSbAu2, as listed in the Alexandria database.

Lattice parameters (Å, degrees): 4.1863 4.1863 8.0833 90.00 90.00 90.00
Space group I-4m2 (No. 119)
Inequivalent atoms, fractional coordinates:
Co 0.0000 0.0000 0.0000 x2
Sb 0.0000 0.5000 0.7500 x2
Au 0.0000 0.0000 0.5000 x2
Au 0.0000 0.5000 0.2500 x2

N(E_F): 8.0 states/eV/cell
Raw total energy: -4.2035 eV per atom
Formation energy (no corrections): 0.242 eV per atom

Q: What is the formula in the first record?
A: BaY3Pd

Q: Number 2 is which compound?
A: ScPdPt4